[1]
DFT (GGA-PBE) results for an optimized crystal structure of AcThGe2Pt2.

abc: 4.4103 4.4103 8.3618
angles: 90.00 90.00 120.00
Space group P-3m1 (No. 164)
Asymmetric unit:
1 Ac 0.0000 0.0000 0.0000 x1
2 Th 0.0000 0.0000 0.5000 x1
3 Ge 0.3333 0.6667 0.7341 x2
4 Pt 0.3333 0.6667 0.2707 x2

***

[2]
DFT (GGA-PBE) results for an optimized crystal structure of AcThGePt.

abc: 7.4851 7.4851 7.4851
angles: 90.00 90.00 90.00
Space group F-43m (No. 216)
Asymmetric unit:
1 Ac 0.0000 0.0000 0.0000 x4
2 Th 0.0000 0.0000 0.5000 x4
3 Ge 0.2500 0.2500 0.2500 x4
4 Pt 0.2500 0.2500 0.7500 x4

***

Number 1: total moment 0.00 μB per cell, formation enthalpy at 0 K -6.4 eV/f.u., N(E_F) 0.952 states/eV/atom. Number 2: total moment 0.00 μB per cell, formation enthalpy at 0 K -2.7 eV/f.u., N(E_F) 1.072 states/eV/atom.